This record from Alexandria via LeMat-Bulk describes a relaxed structure of Rh2Au2Se. The functional is PBE.

For the density of states at the Fermi level, the calculation gives 7.02 states/eV/f.u. As for the uncorrected formation energy: 0.452 eV per atom. The value obtained for the polymorph energy (0 for the lowest one) is 294 meV per atom.

The structure belongs to space group P4/mbm (No. 127); the cell edges are 7.940, 7.940 and 2.848 Å and the angles 90.00°, 90.00° and 90.00°. Symmetry generates all atoms from Rh at (0.119, 0.381, 0.000), Au at (0.177, 0.677, 0.500) and Se at (0.000, 0.000, 0.500).

***

This record from Alexandria via LeMat-Bulk describes a relaxed structure of PrHo4Si4. The functional is PBE.

For the density of states at the Fermi level, the calculation gives 7.67 states/eV/f.u. As for the uncorrected formation energy: -0.479 eV per atom.

The structure belongs to space group P4_2/n (No. 86, origin choice 2); the cell edges are 9.218, 9.218 and 5.696 Å and the angles 90.00°, 90.00° and 90.00°. Symmetry generates all atoms from Pr at (0.250, 0.250, 0.250), Ho at (0.099, 0.642, 0.128) and Si at (0.044, 0.594, 0.633).

***

This record from Alexandria via LeMat-Bulk describes a relaxed structure of Pm3Nd5In2. The functional is PBE.

For the density of states at the Fermi level, the calculation gives 10.89 states/eV/f.u.

The structure belongs to space group C2/c (No. 15); the cell edges are 12.104, 16.236 and 6.679 Å and the angles 90.00°, 92.81° and 90.00°. Symmetry generates all atoms from Pm at (0.000, 0.037, 0.250), Pm at (0.115, 0.238, 0.088), Nd at (0.000, 0.468, 0.250), Nd at (0.139, 0.343, 0.603), Nd at (0.243, 0.451, 0.030) and In at (0.115, 0.144, 0.612).

***

This record from Alexandria via LeMat-Bulk describes a relaxed structure of AcPuBeSi2. The functional is PBE.

For the density of states at the Fermi level, the calculation gives 9.98 states/eV/f.u. As for the uncorrected formation energy: -0.174 eV per atom.

The structure belongs to space group I-4m2 (No. 119); the cell edges are 4.435, 4.435 and 11.275 Å and the angles 90.00°, 90.00° and 90.00°. Symmetry generates all atoms from Ac at (0.000, 0.000, 0.000), Pu at (0.000, 0.500, 0.250), Be at (0.000, 0.500, 0.750) and Si at (0.000, 0.000, 0.392).

***

This record from Alexandria via LeMat-Bulk describes a relaxed structure of Tb2Sm2Dy7. The functional is PBE.

For the density of states at the Fermi level, the calculation gives 17.54 states/eV/f.u. The value obtained for the polymorph energy (0 for the lowest one) is 0 meV per atom.

The structure belongs to space group P-1 (No. 2); the cell edges are 6.538, 6.704 and 8.886 Å and the angles 110.82°, 98.70° and 95.89°. Symmetry generates all atoms from Tb at (0.245, 0.382, 0.047), Sm at (0.287, 0.819, 0.928), Dy at (0.002, 0.621, 0.361), Dy at (0.114, 0.072, 0.285), Dy at (0.396, 0.081, 0.670) and Dy at (0.500, 0.500, 0.500).

***

This record from Alexandria via LeMat-Bulk describes a relaxed structure of Pm2ThRh3. The functional is PBE.

For the density of states at the Fermi level, the calculation gives 2.86 states/eV/f.u.

The structure belongs to space group C2/c (No. 15); the cell edges are 13.816, 5.701 and 7.268 Å and the angles 90.00°, 104.79° and 90.00°. Symmetry generates all atoms from Pm at (0.175, 0.103, 0.134), Th at (0.000, 0.402, 0.750), Rh at (0.000, 0.085, 0.250) and Rh at (0.156, 0.395, 0.510).

***

This record from Alexandria via LeMat-Bulk describes a relaxed structure of Ba2NaTmSe4. The functional is PBE.

As for the uncorrected formation energy: -1.778 eV per atom.

The structure belongs to space group P2/m (No. 10); the cell edges are 7.624, 4.427 and 7.704 Å and the angles 90.00°, 108.72° and 90.00°. Symmetry generates all atoms from Ba at (0.000, 0.000, 0.000), Ba at (0.000, 0.500, 0.500), Na at (0.500, 0.000, 0.500), Tm at (0.500, 0.500, 0.000), Se at (0.281, 0.500, 0.241) and Se at (0.287, 0.000, 0.773).

***

This record from Alexandria via LeMat-Bulk describes a relaxed structure of Y3HoTh2. The functional is PBE.

For the density of states at the Fermi level, the calculation gives 7.82 states/eV/f.u. The value obtained for the polymorph energy (0 for the lowest one) is 149 meV per atom.

The structure belongs to space group Cmcm (No. 63); the cell edges are 6.981, 17.333 and 6.515 Å and the angles 90.00°, 90.00° and 90.00°. Symmetry generates all atoms from Y at (0.000, 0.147, 0.250), Y at (0.250, 0.177, 0.750), Ho at (0.000, 0.354, 0.750) and Th at (0.249, 0.500, 0.000).

***

no.,E (hartree per atom)
1,-0.165
2,-0.200
3,-0.165
4,-0.249
5,-0.167
6,-0.266
7,-0.174
8,-0.231